TaTcW2: relaxed, PBEsol.

## Properties
For the calculated formation energy, the calculation gives -146 meV per atom. As for the space-group type: Pmmm (47). The value obtained for the total energy is -13.00 eV/atom. The value obtained for the size of the total moment is 0.0 Bohr magnetons per cell.

Cell: 3.146 4.437 4.492 Å, 90.00 90.00 90.00°
Fractional positions:
Tc1 0.000 0.500 0.500
W1 0.000 0.000 0.000
W2 0.500 0.500 0.000
Ta1 0.500 0.000 0.500

***

Li5FeSi2O8: relaxed, PBEsol.

## Properties
As for the formation energy without anion corrections: -2285.7 meV per atom. As for the space-group type: C2 (5). The value obtained for the total energy is -6.80 eV/atom. The value obtained for the size of the total moment is 5.0 Bohr magnetons per cell.

Cell: 5.185 5.185 6.225 Å, 90.30 90.30 90.70°
Last column: magnetic moment on the atom in μB.
Fractional positions:
Li1 0.829 0.796 0.739  0.00
Li2 0.669 0.331 0.500  0.00
Li3 0.319 0.681 0.500  0.00
Li4 0.305 0.695 0.000  0.00
Li5 0.204 0.171 0.261  0.00
Fe1 0.676 0.324 0.000  3.90
Si1 0.831 0.819 0.257  0.01
Si2 0.181 0.169 0.743  0.01
O1 0.702 0.687 0.033  0.16
O2 0.695 0.699 0.466  0.01
O3 0.199 0.858 0.750  0.01
O4 0.862 0.227 0.760  0.18
O5 0.142 0.801 0.250  0.01
O6 0.773 0.138 0.240  0.18
O7 0.301 0.305 0.534  0.01
O8 0.313 0.298 0.967  0.16

***

NiAsPd2Pt: relaxed, PBEsol.

## Properties
For the calculated formation energy, the calculation gives 741 meV per atom. As for the space-group type: P4/mmm (123). The value obtained for the total energy is -5.29 eV/atom. The value obtained for the size of the total moment is 0.0 Bohr magnetons per cell.

Cell: 4.130 4.529 4.529 Å, 90.00 90.00 90.00°
Fractional positions:
Ni1 0.000 0.000 0.000
As1 0.500 0.000 0.000
Pd1 0.000 0.000 0.500
Pd2 0.000 0.500 0.000
Pt1 0.500 0.500 0.500

***

Mn4C: relaxed, PBEsol.

## Properties
For the calculated formation energy, the calculation gives 42 meV per atom. As for the space-group type: I4/m (87). The value obtained for the total energy is -9.70 eV/atom. The value obtained for the size of the total moment is 0.0 Bohr magnetons per cell.

Cell: 2.500 4.439 4.439 Å, 85.45 73.65 73.65°
Fractional positions:
C1 0.000 0.000 0.000
Mn1 0.576 0.188 0.660
Mn2 0.764 0.660 0.812
Mn3 0.424 0.812 0.340
Mn4 0.236 0.340 0.188

***

Li2ScW: relaxed, PBEsol.

## Properties
For the calculated formation energy, the calculation gives 345 meV per atom. The value obtained for the relative energy among the computed polymorphs is 0.0000 eV/atom. As for the space-group type: R3m (160). The value obtained for the total energy is -5.74 eV/atom. The value obtained for the size of the total moment is 0.0 Bohr magnetons per cell.

Cell: 2.872 2.872 10.249 Å, 81.95 81.95 60.00°
Fractional positions:
Li1 0.996 0.996 0.013
Li2 0.748 0.748 0.756
Sc1 0.506 0.506 0.483
W1 0.251 0.251 0.248

***

NiRu3: relaxed, PBEsol.

## Properties
For the calculated formation energy, the calculation gives 84 meV per atom. As for the space-group type: Pmmn (59). The value obtained for the total energy is -9.08 eV/atom. The value obtained for the size of the total moment is 0.0 Bohr magnetons per cell.

Cell: 4.176 4.609 5.254 Å, 90.00 90.00 90.00°
Fractional positions:
Ni1 0.000 0.660 0.000
Ni2 0.500 0.340 0.500
Ru1 0.500 0.344 0.000
Ru2 0.000 0.167 0.745
Ru3 0.500 0.833 0.755
Ru4 0.000 0.656 0.500
Ru5 0.000 0.167 0.255
Ru6 0.500 0.833 0.245

***

Mo3W: relaxed, PBEsol.

## Properties
For the calculated formation energy, the calculation gives 91 meV per atom. The value obtained for the relative energy among the computed polymorphs is 0.0934 eV/atom. As for the space-group type: Pm-3n (223). The value obtained for the total energy is -12.19 eV/atom. The value obtained for the size of the total moment is 0.0 Bohr magnetons per cell.

Cell: 5.001 5.001 5.001 Å, 90.00 90.00 90.00°
Fractional positions:
Mo1 0.000 0.250 0.500
Mo2 0.000 0.750 0.500
Mo3 0.250 0.500 0.000
Mo4 0.500 0.000 0.250
Mo5 0.500 0.000 0.750
Mo6 0.750 0.500 0.000
W1 0.000 0.000 0.000
W2 0.500 0.500 0.500

***

TaCrSi2: relaxed, PBEsol.

## Properties
As for the formation energy without anion corrections: -125.9 meV per atom. As for the space-group type: C2/m (12). The value obtained for the total energy is -8.70 eV/atom. The value obtained for the size of the total moment is 0.0 Bohr magnetons per cell.

Cell: 2.979 4.424 4.515 Å, 100.98 90.00 109.67°
Fractional positions:
Cr1 0.500 0.000 0.000
Si1 0.761 0.523 0.788
Si2 0.239 0.477 0.212
Ta1 0.000 0.000 0.500